Entry 1:
Density functional theory data (GGA-PBE) for a geometry-optimized Pm2NdAl structure.

The space group is P4/mmm (No. 123) and the conventional cell measures 3.590, 3.590 and 9.355 Å, with angles of 90.00, 90.00 and 90.00 degrees. The asymmetric unit holds Pm at (0.000, 0.000, 0.211), Nd at (0.500, 0.500, 0.500) and Al at (0.500, 0.500, 0.000).

The calculation puts the formation energy at -163 meV/atom. For the relative energy among the computed polymorphs, the calculation gives 0.02 eV per formula unit. The calculated volume is 121 Å³/f.u. For the density, the calculation gives 6.4 Mg/m³.

Entry 2:
Density functional theory data (GGA-PBE) for a geometry-optimized Pm2NdAl6 structure.

The space group is P6/mmm (No. 191) and the conventional cell measures 7.9682, 7.9682 and 3.6941 Å, with angles of 90.00, 90.00 and 120.00 degrees. The asymmetric unit holds Pm at (0.3333, 0.6667, 0.0000), Nd at (0.0000, 0.0000, 0.0000) and Al at (0.0000, 0.3338, 0.5000).

The calculation puts the formation energy at -483 meV/atom. For the relative energy among the computed polymorphs, the calculation gives 0.00 eV per formula unit. The calculated volume is 203 Å³/f.u. For the density, the calculation gives 4.9 Mg/m³.

Entry 3:
Density functional theory data (GGA-PBE) for a geometry-optimized PmNdAl4 structure.

The space group is F-43m (No. 216) and the conventional cell measures 8.024, 8.024 and 8.024 Å, with angles of 90.00, 90.00 and 90.00 degrees. The asymmetric unit holds Pm at (0.000, 0.000, 0.000), Nd at (0.250, 0.250, 0.250) and Al at (0.125, 0.125, 0.625).

The calculation puts the formation energy at -502 meV/atom. The calculated volume is 129 Å³/f.u. For the density, the calculation gives 5.1 Mg/m³.

no.,spin magnetization (μB per cell)
1,0.00
2,0.00
3,0.00